Computed, not measured: a relaxed structure of Sc3AgC at the GGA-PBE level of DFT.

Cell and atoms, written as POSCAR:
```
Sc3AgC
1.0
2.377 -1.128 -6.654
-2.710 -6.070 2.646
-3.766 1.020 -1.518
C Sc Ag
2 6 2
Direct
0.582 0.418 0.750 C
0.418 0.582 0.250 C
0.000 0.000 0.500 Sc
0.441 0.238 0.250 Sc
0.762 0.559 0.250 Sc
0.000 0.000 0.000 Sc
0.238 0.441 0.750 Sc
0.559 0.762 0.750 Sc
0.230 0.770 0.250 Ag
0.770 0.230 0.750 Ag
```

Calculated values
D(E_F) = 4.3 states/eV/f.u.
Distance to the lowest polymorph of the same formula = 1024 meV per atom
Formation energy = 0.626 eV/atom